(P)
Density functional theory data (PBE-GGA) for a relaxed Ba2In3Sn crystal.

abc: 12.458 5.088 8.314
angles: 90.00 129.92 90.00
Fractional positions:
Ba: 0.000 0.000 0.000
Ba: 0.118 0.000 0.627
Ba: 0.500 0.500 0.000
Ba: 0.618 0.500 0.627
In: 0.214 0.500 0.393
In: 0.228 0.500 0.039
In: 0.397 0.000 0.226
In: 0.714 0.000 0.393
In: 0.728 0.000 0.039
In: 0.897 0.500 0.226
Sn: 0.394 0.000 0.595
Sn: 0.894 0.500 0.595

D(E_F): 0.546 states/eV/atom
volume: 33.68 Å³ per atom
ρ: 6.063 g cm⁻³
crystal system: monoclinic

---

(Q)
Density functional theory data (PBE-GGA) for a relaxed Ba2In3Sn crystal.

abc: 4.964 5.156 8.531
angles: 90.00 90.00 90.00
Fractional positions:
Ba: 0.000 0.000 0.000
Ba: 0.500 0.000 0.491
In: 0.000 0.500 0.334
In: 0.000 0.500 0.666
In: 0.500 0.500 0.823
Sn: 0.500 0.500 0.159

D(E_F): 0.518 states/eV/atom
volume: 36.39 Å³ per atom
ρ: 5.611 g cm⁻³
crystal system: orthorhombic

---

Which structure is most stable, and how do the rest compare? From most to least stable: (P), (Q).